A) Below is an optimized crystal structure of ScAgTe3Pb, with properties calculated at the PBE level.

abc: 14.4053 4.2599 11.3189
angles: 90.00 90.00 90.00
Last column: nearest neighbours and their distance in Å.
Space group Pnma (No. 62)
Asymmetric unit:
1 Sc 0.0107 0.2500 0.1769  6 Te 2.91-2.98
2 Ag 0.0095 0.7500 0.4110  4 Te 2.81-2.95, 2 Ag 2.94
3 Te 0.1011 0.2500 0.9405  3 Sc 2.98, 2 Pb 3.29
4 Te 0.1217 0.7500 0.6290  3 Ag 2.88-2.95, 1 Sc 2.91
5 Te 0.1476 0.7500 0.2359  1 Ag 2.81, 2 Sc 2.98
6 Pb 0.2248 0.2500 0.4449  6 Te 3.29-3.37

Size of the total moment   0.004 μB per formula unit
Crystal system   orthorhombic

---

B) Below is an optimized crystal structure of ScAgTe3Pb, with properties calculated at the PBE level.

abc: 11.0660 4.2663 14.4922
angles: 90.00 90.00 90.00
Last column: nearest neighbours and their distance in Å.
Space group Pnma (No. 62)
Asymmetric unit:
1 Sc 0.0184 0.2500 0.2457  6 Te 2.98-3.07
2 Ag 0.2417 0.2500 0.7172  4 Te 2.75-2.80
3 Te 0.0294 0.2500 0.6130  1 Ag 2.79, 2 Sc 3.00
4 Te 0.0580 0.7500 0.1053  1 Ag 2.75, 2 Sc 2.98
5 Te 0.2343 0.7500 0.8419  2 Ag 2.80, 2 Sc 3.07
6 Pb 0.2303 0.7500 0.5201  7 Te 3.36-3.46, 2 Ag 3.57

Size of the total moment   0.005 μB per formula unit
Crystal system   orthorhombic

---

Energies relative to the most stable structure are A) 0.000; B) 0.029, reported in eV/atom.

---

A) Below is an optimized crystal structure of LaAgTe3Pb, with properties calculated at the PBE level.

abc: 14.8085 4.4582 12.0524
angles: 90.00 90.00 90.00
Last column: nearest neighbours and their distance in Å.
Space group Pnma (No. 62)
Asymmetric unit:
1 La 0.0114 0.2500 0.1765  6 Te 3.18-3.25
2 Ag 0.0056 0.7500 0.4159  4 Te 2.87-2.94, 2 Ag 3.02
3 Te 0.1150 0.2500 0.9392  3 La 3.23-3.25, 2 Pb 3.32
4 Te 0.1199 0.7500 0.6150  3 Ag 2.93-2.94, 1 La 3.18
5 Te 0.1512 0.7500 0.2592  1 Ag 2.87, 2 La 3.20
6 Pb 0.2187 0.2500 0.4491  6 Te 3.32-3.35, 1 Ag 3.70

Size of the total moment   0.003 μB per formula unit
Crystal system   orthorhombic

---

B) Below is an optimized crystal structure of LaAgTe3Pb, with properties calculated at the PBE level.

abc: 20.3272 4.4453 9.0908
angles: 90.00 103.16 90.00
Last column: nearest neighbours and their distance in Å.
Space group C2/m (No. 12)
Asymmetric unit:
1 La 0.1621 0.0000 0.0906  6 Te 3.20-3.25
2 Ag 0.0399 0.5000 0.2135  4 Te 2.84-2.94
3 Te 0.0000 0.0000 0.0000  4 Ag 2.94, 2 La 3.21
4 Te 0.0000 0.5000 0.5000  2 Ag 2.90
5 Te 0.1737 0.5000 0.8439  3 La 3.20-3.25, 2 Pb 3.32
6 Te 0.1805 0.5000 0.3493  1 Ag 2.84
7 Pb 0.1239 0.0000 0.5705  6 Te 3.31-3.37

Size of the total moment   0.001 μB per formula unit
Crystal system   monoclinic

---

Energies relative to the most stable structure are A) 0.000; B) 0.024, reported in eV/atom.

---

A) Below is an optimized crystal structure of InTe3PtAu, with properties calculated at the PBE level.

abc: 14.0607 4.1008 11.1878
angles: 90.00 90.00 90.00
Last column: nearest neighbours and their distance in Å.
Space group Pnma (No. 62)
Asymmetric unit:
1 In 0.1574 0.2500 0.0444  2 Au 2.79, 3 Te 3.01-3.12
2 Te 0.0083 0.7500 0.7856  2 Pt 2.71, 1 Au 2.75, 1 In 3.01
3 Te 0.1067 0.2500 0.4978  3 Pt 2.72-2.75
4 Te 0.2217 0.7500 0.2385  1 Pt 2.75, 2 Au 2.88
5 Pt 0.0497 0.7500 0.3547  6 Te 2.71-2.75
6 Au 0.1890 0.7500 0.8805  3 Te 2.75-2.88, 2 In 2.79

Size of the total moment   0.001 μB per formula unit
Crystal system   orthorhombic

---

B) Below is an optimized crystal structure of InTe3PtAu, with properties calculated at the PBE level.

abc: 3.9809 13.5091 11.3399
angles: 90.00 90.00 90.00
Last column: nearest neighbours and their distance in Å.
Space group Cmcm (No. 63)
Asymmetric unit:
1 In 0.0000 0.1906 0.2500  2 Au 2.83, 4 Te 3.07-3.14
2 Te 0.0000 0.1327 0.5114  2 Pt 2.68, 1 Au 2.73
3 Te 0.0000 0.4887 0.7500  2 Pt 2.84, 2 Au 3.06, 2 In 3.14
4 Pt 0.0000 0.5000 0.0000  6 Te 2.68-2.84
5 Au 0.0000 0.1609 0.7500  2 Te 2.73, 2 In 2.83

Size of the total moment   0.013 μB per formula unit
Crystal system   orthorhombic

---

Energies relative to the most stable structure are A) 0.006; B) 0.000, reported in eV/atom.